[1]
Material: Ce4In5Hg
Method: DFT, PBE-GGA
State: relaxed

## Properties
**ΔH_f (0 K)**: -0.30 eV/atom
**Relative energy among the computed polymorphs**: 0.0 meV per atom
**SG**: C2/m, No. 12

Cell: 8.6529 8.6529 6.6213 Å, 103.12 103.12 35.45°
Element x y z (fractional)
1 Ce 0.0924 0.0924 0.3358
2 Ce 0.3074 0.3074 0.1693
3 Ce 0.6926 0.6926 0.8307
4 Ce 0.9076 0.9076 0.6642
5 In 0.0996 0.0996 0.8605
6 In 0.2874 0.2874 0.6642
7 In 0.5000 0.5000 0.0000
8 In 0.7126 0.7126 0.3358
9 In 0.9004 0.9004 0.1395
10 Hg 0.5000 0.5000 0.5000

=====

[2]
Material: CdW2C
Method: DFT, PBE-GGA
State: relaxed

## Properties
**ΔH_f (0 K)**: 1.30 eV/atom
**Relative energy among the computed polymorphs**: 0.0 meV per atom
**SG**: I-42d, No. 122

Cell: 6.9258 6.9258 6.9258 Å, 136.83 136.83 62.70°
Element x y z (fractional)
1 Cd 0.0000 0.0000 0.0000
2 Cd 0.7500 0.2500 0.5000
3 W 0.2787 0.6250 0.1537
4 W 0.3750 0.5287 0.6537
5 W 0.4713 0.1250 0.8463
6 W 0.8750 0.7213 0.3463
7 C 0.2500 0.7500 0.5000
8 C 0.5000 0.5000 0.0000

=====

[3]
Material: Nd2CdAg3
Method: DFT, PBE-GGA
State: relaxed

## Properties
**ΔH_f (0 K)**: -0.28 eV/atom
**Relative energy among the computed polymorphs**: 0.0 meV per atom
**SG**: Fmmm, No. 69

Cell: 9.8751 9.2249 5.9930 Å, 77.73 65.90 36.37°
Element x y z (fractional)
1 Nd 0.2465 0.7535 0.7535
2 Nd 0.2500 0.2500 0.2500
3 Nd 0.7500 0.7500 0.7500
4 Nd 0.7535 0.2465 0.2465
5 Cd 0.3336 0.3336 0.6664
6 Cd 0.6664 0.6664 0.3336
7 Ag 0.1663 0.1663 0.8337
8 Ag 0.1672 0.6674 0.3326
9 Ag 0.3326 0.8328 0.1672
10 Ag 0.6674 0.1672 0.8328
11 Ag 0.8328 0.3326 0.6674
12 Ag 0.8337 0.8337 0.1663

=====

[4]
Material: Ac4SiAg
Method: DFT, PBE-GGA
State: relaxed

## Properties
**Raw formation energy**: -0.144 eV/atom
**SG**: P2_1/c, No. 14

Cell: 7.7519 7.7032 7.8334 Å, 90.00 90.78 90.00°
Element x y z (fractional)
1 Ac 0.1494 0.1641 0.1694
2 Ac 0.1494 0.3359 0.6694
3 Ac 0.3404 0.6525 0.1493
4 Ac 0.3404 0.8475 0.6493
5 Ac 0.6596 0.1525 0.3507
6 Ac 0.6596 0.3475 0.8507
7 Ac 0.8506 0.6641 0.3306
8 Ac 0.8506 0.8359 0.8306
9 Si 0.0000 0.0000 0.5000
10 Si 0.0000 0.5000 0.0000
11 Ag 0.5000 0.0000 0.0000
12 Ag 0.5000 0.5000 0.5000

=====

[5]
Material: K2AcGaF8
Method: DFT, PBE-GGA
State: relaxed

## Properties
**Raw formation energy**: -3.177 eV/atom
**SG**: P2/m, No. 10

Cell: 4.4604 7.4835 6.0746 Å, 90.00 95.47 90.00°
Element x y z (fractional)
1 K 0.0000 0.2239 0.0000
2 K 0.0000 0.7761 0.0000
3 Ac 0.5000 0.5000 0.5000
4 Ga 0.5000 0.0000 0.5000
5 F 0.0145 0.5000 0.2732
6 F 0.1415 0.0000 0.3229
7 F 0.4080 0.2088 0.6963
8 F 0.4080 0.7912 0.6963
9 F 0.5920 0.2088 0.3037
10 F 0.5920 0.7912 0.3037
11 F 0.8585 0.0000 0.6771
12 F 0.9855 0.5000 0.7268

=====

[6]
Material: U4PC2
Method: DFT, PBE-GGA
State: relaxed

## Properties
**ΔH_f (0 K)**: -0.27 eV/atom
**SG**: Cmcm, No. 63

Cell: 6.2586 6.2586 11.3662 Å, 90.00 90.00 147.05°
Element x y z (fractional)
1 U 0.0000 0.0000 0.0000
2 U 0.0000 0.0000 0.5000
3 U 0.2705 0.7295 0.6315
4 U 0.2705 0.7295 0.8685
5 U 0.4157 0.5843 0.2500
6 U 0.5843 0.4157 0.7500
7 U 0.7295 0.2705 0.1315
8 U 0.7295 0.2705 0.3685
9 P 0.0868 0.9132 0.2500
10 P 0.9132 0.0868 0.7500
11 C 0.3551 0.6449 0.0489
12 C 0.3551 0.6449 0.4511
13 C 0.6449 0.3551 0.5489
14 C 0.6449 0.3551 0.9511

=====

[7]
Material: TlAs2WBr
Method: DFT, PBE-GGA
State: relaxed

## Properties
**Raw formation energy**: 0.204 eV/atom
**Relative energy among the computed polymorphs**: 0.0 meV per atom
**SG**: P4/mmm, No. 123

Cell: 4.8781 4.8781 5.6561 Å, 90.00 90.00 90.00°
Element x y z (fractional)
1 Tl 0.0000 0.0000 0.0000
2 As 0.0000 0.5000 0.5000
3 As 0.5000 0.0000 0.5000
4 W 0.5000 0.5000 0.5000
5 Br 0.5000 0.5000 0.0000

=====

[8]
Material: AcPm2Dy
Method: DFT, PBE-GGA
State: relaxed

## Properties
**ΔH_f (0 K)**: 0.04 eV/atom
**Relative energy among the computed polymorphs**: 0.0 meV per atom
**SG**: P4/mmm, No. 123

Cell: 5.2194 5.2194 5.2741 Å, 90.00 90.00 90.00°
Element x y z (fractional)
1 Ac 0.0000 0.0000 0.0000
2 Pm 0.0000 0.5000 0.5000
3 Pm 0.5000 0.0000 0.5000
4 Dy 0.5000 0.5000 0.0000

=====

The evaluated total magnetization for the records listed, in turn: 0.40 0.00 0.00 0.00 0.01 0.45 0.10 0.00 μB per atom.
The evaluated E for the records listed, in turn: -40.716 -30.838 -20.688 -25.570 -62.426 -70.933 -25.273 -18.065 eV/f.u..